[1]
LaAuIO2: relaxed, PBE.

It has space group P4/mmm (No. 123), with a = 4.299 Å, b = 4.299 Å, c = 7.393 Å, α = 90.00°, β = 90.00° and γ = 90.00°. Symmetry generates all atoms from La at (0.000, 0.000, 0.000), Au at (0.500, 0.500, 0.500), I at (0.000, 0.000, 0.500) and O at (0.000, 0.500, 0.000).

The theoretical density comes out at 6.01 Mg/m³. For the offset from the most stable computed form, the calculation gives 0.0 meV/atom. The value obtained for the density of states at the Fermi level is 4.9 states/eV/f.u. The uncorrected formation energy is -108.6 kJ per mole of atoms.

[2]
CaTlAgN: relaxed, PBE.

It has space group R3m (No. 160, hexagonal axes), with a = 3.8594 Å, b = 3.8594 Å, c = 19.3996 Å, α = 90.00°, β = 90.00° and γ = 120.00°. Symmetry generates all atoms from Ca at (0.0000, 0.0000, 0.0000), Tl at (0.0000, 0.0000, 0.4723), Ag at (0.0000, 0.0000, 0.2316) and N at (0.0000, 0.0000, 0.6183).

The theoretical density comes out at 7.29 Mg/m³. For the offset from the most stable computed form, the calculation gives 163.3 meV/atom. The value obtained for the density of states at the Fermi level is 0.9 states/eV/f.u. The uncorrected formation energy is -0.9 kJ per mole of atoms.